VASP calculation (GGA-PBE) on an optimized crystal structure of LiSb2Cl. Values from VASP.

N(E_F) = 0.7072 states/eV/atom
Calculated total energy = -3.052 eV/atom
Density = 5.09 Mg/m³
Polymorph energy (0 for the lowest one) = 295 kJ/mol of formula units
E_form (uncorrected) = -51 meV/atom

Cell and atoms, written as Quantum ESPRESSO input:
```
&SYSTEM
  ibrav = 0, nat = 4, ntyp = 3
/
ATOMIC_SPECIES
Cl 35.45 Cl.upf
Sb 121.76 Sb.upf
Li 6.94 Li.upf
CELL_PARAMETERS angstrom
9.3516 -0.0520 -0.0306
8.7398 3.3273 -0.0306
8.7398 1.5823 2.9272
ATOMIC_POSITIONS crystal
Cl 0.2500 0.2500 0.2500
Sb 0.4965 0.4965 0.4965
Sb 0.0035 0.0035 0.0035
Li 0.7500 0.7500 0.7500
```

VASP calculation (GGA-PBE) on an optimized crystal structure of PtW2Se. Values from VASP.

N(E_F) = 0.5752 states/eV/atom
Calculated total energy = -8.572 eV/atom
Density = 16.70 Mg/m³
E_form (uncorrected) = 286 meV/atom

Cell and atoms, written as Quantum ESPRESSO input:
```
&SYSTEM
  ibrav = 0, nat = 4, ntyp = 3
/
ATOMIC_SPECIES
W 183.84 W.upf
Se 78.96 Se.upf
Pt 195.08 Pt.upf
CELL_PARAMETERS angstrom
5.4038 -0.0004 -0.0002
2.6250 4.7235 0.0002
-3.4444 -3.3306 2.4991
ATOMIC_POSITIONS crystal
W 0.7473 0.2473 0.5000
W 0.0239 0.0239 0.0000
Se 0.2429 0.7429 0.5000
Pt 0.4859 0.4859 0.0000
```

VASP calculation (GGA-PBE) on an optimized crystal structure of Tl2TePt. Values from VASP.

N(E_F) = 0.5885 states/eV/atom
Calculated total energy = -3.519 eV/atom
Density = 10.66 Mg/m³
Polymorph energy (0 for the lowest one) = 59 kJ/mol of formula units
E_form (uncorrected) = -40 meV/atom

Cell and atoms, written as Quantum ESPRESSO input:
```
&SYSTEM
  ibrav = 0, nat = 4, ntyp = 3
/
ATOMIC_SPECIES
Te 127.60 Te.upf
Pt 195.08 Pt.upf
Tl 204.38 Tl.upf
CELL_PARAMETERS angstrom
3.7554 0.0000 0.0000
0.0000 3.7554 0.0000
0.0000 0.0000 8.0826
ATOMIC_POSITIONS crystal
Te 0.5000 0.5000 0.6686
Pt 0.0000 0.0000 0.5858
Tl 0.0000 0.0000 0.9667
Tl 0.5000 0.5000 0.2789
```

VASP calculation (GGA-PBE) on an optimized crystal structure of GdTmSnPt. Values from VASP.

N(E_F) = 0.5144 states/eV/atom
Calculated total energy = -8.004 eV/atom
Density = 11.10 Mg/m³
Formation enthalpy at 0 K = -0.855 eV/atom

Cell and atoms, written as Quantum ESPRESSO input:
```
&SYSTEM
  ibrav = 0, nat = 4, ntyp = 4
/
ATOMIC_SPECIES
Sn 118.71 Sn.upf
Tm 168.93 Tm.upf
Pt 195.08 Pt.upf
Gd 157.25 Gd.upf
CELL_PARAMETERS angstrom
5.1351 0.0000 0.0000
2.5675 4.4471 0.0000
2.5675 1.4824 4.1928
ATOMIC_POSITIONS crystal
Sn 0.2500 0.2500 0.2500
Tm 0.5000 0.5000 0.5000
Pt 0.7500 0.7500 0.7500
Gd 0.0000 0.0000 0.0000
```

VASP calculation (GGA-PBE) on an optimized crystal structure of Pa4Ga6Ir7. Values from VASP.

N(E_F) = 0.5313 states/eV/atom
Calculated total energy = -7.714 eV/atom
Density = 14.80 Mg/m³
Formation enthalpy at 0 K = -0.762 eV/atom

Cell and atoms, written as Quantum ESPRESSO input:
```
&SYSTEM
  ibrav = 0, nat = 17, ntyp = 3
/
ATOMIC_SPECIES
Ir 192.22 Ir.upf
Pa 231.04 Pa.upf
Ga 69.72 Ga.upf
CELL_PARAMETERS angstrom
6.8994 0.0000 -2.4393
-3.4497 5.9751 -2.4393
0.0000 0.0000 7.3179
ATOMIC_POSITIONS crystal
Ir 0.0000 0.0000 0.0000
Ir 0.7500 0.5000 0.2500
Pa 0.0000 0.0000 0.5000
Pa 0.5000 0.5000 0.5000
Ir 0.7500 0.2500 0.5000
Ir 0.5000 0.7500 0.2500
Ir 0.2500 0.7500 0.5000
Ga 0.0000 0.6870 0.6870
Ir 0.5000 0.2500 0.7500
Pa 0.0000 0.5000 0.0000
Ga 0.3130 0.0000 0.3130
Ga 0.3130 0.3130 0.0000
Ga 0.6870 0.6870 0.0000
Ir 0.2500 0.5000 0.7500
Pa 0.5000 0.0000 0.0000
Ga 0.0000 0.3130 0.3130
Ga 0.6870 0.0000 0.6870
```

VASP calculation (GGA-PBE) on an optimized crystal structure of Sr3CaMo. Values from VASP.

N(E_F) = 0.7175 states/eV/atom
Calculated total energy = -2.870 eV/atom
Density = 2.99 Mg/m³
Formation enthalpy at 0 K = 0.706 eV/atom
Polymorph energy (0 for the lowest one) = 0 kJ/mol of formula units

Cell and atoms, written as Quantum ESPRESSO input:
```
&SYSTEM
  ibrav = 0, nat = 5, ntyp = 3
/
ATOMIC_SPECIES
Mo 95.94 Mo.upf
Sr 87.62 Sr.upf
Ca 40.08 Ca.upf
CELL_PARAMETERS angstrom
6.0492 0.0000 0.0000
0.0000 6.0492 0.0000
0.0000 0.0000 6.0492
ATOMIC_POSITIONS crystal
Mo 0.0000 0.0000 0.0000
Sr 0.0000 0.5000 0.0000
Sr 0.5000 0.0000 0.0000
Sr 0.0000 0.0000 0.5000
Ca 0.5000 0.5000 0.5000
```